[1]
Compound: ZrMn2W
Source: Alexandria via LeMat-Bulk
Functional: PBE
Structure: optimized geometry

Cell: 5.4460 4.9228 2.7933 Å, 79.51 79.40 120.06°
Closest atoms and distances in Å follow each position.
Element x y z (fractional)
Mn 0.0000 0.0000 0.0000  2 W 2.60, 2 Zr 2.60, 4 Mn 2.79-2.82
Zr 0.5000 0.5000 0.0000  4 Mn 2.60, 2 Zr 2.79, 2 W 2.82
Mn 0.5000 0.0000 0.5000  2 Zr 2.60, 2 W 2.60, 4 Mn 2.79-2.82
W 0.0000 0.5000 0.5000  4 Mn 2.60, 2 W 2.79, 2 Zr 2.82

Properties
Volume ... 15.1 A^3/atom
Electronic total energy ... -9.71 eV/atom



[2]
Compound: ZrMn2W
Source: Alexandria via LeMat-Bulk
Functional: PBE
Structure: optimized geometry

Cell: 4.4272 4.4272 4.4272 Å, 60.00 60.00 60.00°
Closest atoms and distances in Å follow each position.
Element x y z (fractional)
W 0.5000 0.5000 0.5000  4 Zr 2.71, 4 Mn 2.71
Zr 0.7500 0.7500 0.7500  4 Mn 2.71, 4 W 2.71
Mn 0.2500 0.2500 0.2500  4 Mn 2.71, 4 W 2.71
Mn 0.0000 0.0000 0.0000  4 Zr 2.71, 4 Mn 2.71

Properties
Volume ... 15.3 A^3/atom
Electronic total energy ... -9.71 eV/atom



[3]
Compound: ZrMnW
Source: Alexandria via LeMat-Bulk
Functional: PBE
Structure: optimized geometry

Cell: 5.5364 5.5364 5.5364 Å, 147.50 147.50 46.62°
Closest atoms and distances in Å follow each position.
Element x y z (fractional)
W 0.3531 0.3531 0.0000  4 Mn 2.58
Mn 0.9864 0.9864 0.0000  4 W 2.58, 4 Zr 2.82
Zr 0.6605 0.6605 0.0000  4 Mn 2.82, 5 W 2.94-3.13, 4 Zr 3.10

Properties
Energy above the most stable polymorph in this dataset ... 19.2 kJ per mole of atoms
Volume ... 16.3 A^3/atom
Electronic total energy ... -10.16 eV/atom



[4]
Compound: ZrMn2W
Source: Alexandria via LeMat-Bulk
Functional: PBE
Structure: optimized geometry

Cell: 4.9535 4.9535 4.9535 Å, 141.95 124.33 69.42°
Closest atoms and distances in Å follow each position.
Element x y z (fractional)
Mn 0.0126 0.0126 0.0000  2 W 2.52, 2 Zr 2.68
Zr 0.7500 0.2500 0.5000  4 Mn 2.68, 4 W 2.82
Mn 0.4874 0.4874 0.0000  2 W 2.52, 2 Zr 2.68
W 0.2500 0.7500 0.5000  4 Mn 2.52, 4 Zr 2.82

Properties
Volume ... 15.2 A^3/atom
Electronic total energy ... -9.71 eV/atom



[5]
Compound: ZrMn4W
Source: Alexandria via LeMat-Bulk
Functional: PBE
Structure: optimized geometry

Cell: 4.8558 4.8558 4.8558 Å, 60.00 60.00 60.00°
Closest atoms and distances in Å follow each position.
Element x y z (fractional)
Zr 0.0000 0.0000 0.0000  12 Mn 2.85, 4 W 2.97
Mn 0.8740 0.3753 0.3753  6 Mn 2.42-2.43
Mn 0.3753 0.8740 0.3753  6 Mn 2.42-2.43
Mn 0.3753 0.3753 0.3753  6 Mn 2.42-2.43
Mn 0.3753 0.3753 0.8740  6 Mn 2.42-2.43
W 0.7500 0.7500 0.7500  12 Mn 2.85, 4 Zr 2.97

Properties
Volume ... 13.5 A^3/atom
Electronic total energy ... -9.75 eV/atom



[6]
Compound: ZrMn2W
Source: Alexandria via LeMat-Bulk
Functional: PBE
Structure: optimized geometry

Cell: 4.2618 4.2618 5.3329 Å, 77.55 77.55 41.51°
Closest atoms and distances in Å follow each position.
Element x y z (fractional)
Zr 0.7500 0.7500 0.7500  6 Mn 2.74-2.75, 2 Zr 3.02, 4 W 3.06
W 0.2500 0.2500 0.2500  6 Mn 2.48-2.56
Mn 0.9889 0.9889 0.0458  3 W 2.48-2.56, 2 Mn 2.69, 3 Zr 2.74-2.75
Mn 0.5111 0.5111 0.4542  3 W 2.48-2.56, 2 Mn 2.69, 3 Zr 2.74-2.75

Properties
Volume ... 15.6 A^3/atom
Electronic total energy ... -9.62 eV/atom



[7]
Compound: ZrMnW
Source: Alexandria via LeMat-Bulk
Functional: PBE
Structure: optimized geometry

Cell: 4.2531 4.2531 4.2531 Å, 60.00 60.00 60.00°
Closest atoms and distances in Å follow each position.
Element x y z (fractional)
W 0.0000 0.0000 0.0000  4 Mn 2.60
Zr 0.5000 0.5000 0.5000  4 Mn 2.60
Mn 0.7500 0.7500 0.7500  4 Zr 2.60, 4 W 2.60

Properties
Energy above the most stable polymorph in this dataset ... 54.7 kJ per mole of atoms
Volume ... 18.1 A^3/atom
Electronic total energy ... -9.79 eV/atom



[8]
Compound: YMn3
Source: Alexandria via LeMat-Bulk
Functional: PBE
Structure: optimized geometry

Cell: 3.0929 3.0929 7.0455 Å, 90.00 90.00 90.00°
Closest atoms and distances in Å follow each position.
Element x y z (fractional)
Mn 0.0000 0.0000 0.5582  5 Mn 2.57-2.70
Mn 0.5000 0.5000 0.7500  8 Mn 2.57
Mn 0.0000 0.0000 0.9418  5 Mn 2.57-2.70
Y 0.5000 0.5000 0.2500  8 Mn 3.08, 4 Y 3.09

Properties
Volume ... 16.8 A^3/atom
Electronic total energy ... -8.25 eV/atom



[9]
Compound: YMn
Source: Alexandria via LeMat-Bulk
Functional: PBE
Structure: optimized geometry

Cell: 7.8654 7.8654 7.8654 Å, 90.00 90.00 90.00°
Closest atoms and distances in Å follow each position.
Element x y z (fractional)
Mn 0.5000 0.2500 0.0000  4 Y 2.78
Mn 0.0000 0.5000 0.7500  4 Y 2.78
Mn 0.2500 0.0000 0.5000  4 Y 2.78
Mn 0.7500 0.0000 0.5000  4 Y 2.78
Y 0.2500 0.5000 0.0000  4 Mn 2.78
Y 0.7500 0.5000 0.0000  4 Mn 2.78
Y 0.5000 0.0000 0.7500  4 Mn 2.78
Y 0.0000 0.7500 0.5000  4 Mn 2.78
Y 0.0000 0.2500 0.5000  4 Mn 2.78
Mn 0.0000 0.5000 0.2500  4 Y 2.78
Y 0.5000 0.0000 0.2500  4 Mn 2.78
Mn 0.5000 0.7500 0.0000  4 Y 2.78

Properties
Volume ... 40.5 A^3/atom
Electronic total energy ... -6.13 eV/atom



[10]
Compound: YMn3
Source: Alexandria via LeMat-Bulk
Functional: PBE
Structure: optimized geometry

Cell: 3.0627 4.8921 5.1118 Å, 101.09 90.00 108.24°
Closest atoms and distances in Å follow each position.
Element x y z (fractional)
Y 0.7500 0.5000 0.2500  10 Mn 2.93-3.01, 2 Y 3.06
Mn 0.2500 0.5000 0.7500  6 Mn 2.72-2.82, 4 Y 2.98
Mn 0.9888 0.9776 0.9522  5 Mn 2.61-2.82
Mn 0.5112 0.0224 0.5478  5 Mn 2.61-2.82

Properties
Volume ... 17.8 A^3/atom
Electronic total energy ... -8.02 eV/atom



[11]
Compound: Y4Mn3
Source: Alexandria via LeMat-Bulk
Functional: PBE
Structure: optimized geometry

Cell: 5.5389 5.5389 6.2917 Å, 90.00 90.00 120.00°
Closest atoms and distances in Å follow each position.
Element x y z (fractional)
Y 0.0000 0.0000 0.7560  2 Y 3.07-3.22, 6 Mn 3.17
Y 0.6667 0.3333 0.5000  9 Y 3.20-3.58, 6 Mn 3.53
Mn 0.5000 0.5000 0.0000  4 Mn 2.77
Y 0.3333 0.6667 0.5000  9 Y 3.20-3.58, 6 Mn 3.53
Mn 0.0000 0.5000 0.0000  4 Mn 2.77
Y 0.0000 0.0000 0.2440  2 Y 3.07-3.22, 6 Mn 3.17
Mn 0.5000 0.0000 0.0000  4 Mn 2.77

Properties
Energy above the most stable polymorph in this dataset ... 12.4 kJ per mole of atoms
Volume ... 23.9 A^3/atom
Electronic total energy ... -7.28 eV/atom



[12]
Compound: Y3Mn2
Source: Alexandria via LeMat-Bulk
Functional: PBE
Structure: optimized geometry

Cell: 12.5384 12.5384 12.5384 Å, 15.73 15.73 15.73°
Closest atoms and distances in Å follow each position.
Element x y z (fractional)
Y 0.7913 0.7913 0.7913  3 Mn 3.03
Mn 0.6038 0.6038 0.6038  6 Y 3.03-3.06
Mn 0.3962 0.3962 0.3962  6 Y 3.03-3.06
Y 0.2087 0.2087 0.2087  3 Mn 3.03
Y 0.0000 0.0000 0.0000  6 Mn 3.06

Properties
Energy above the most stable polymorph in this dataset ... 11.5 kJ per mole of atoms
Volume ... 25.2 A^3/atom
Electronic total energy ... -7.16 eV/atom



[13]
Compound: Y5Mn3
Source: Alexandria via LeMat-Bulk
Functional: PBE
Structure: optimized geometry

Cell: 6.4483 6.4483 4.9098 Å, 90.00 90.00 102.03°
Closest atoms and distances in Å follow each position.
Element x y z (fractional)
Y 0.0000 0.0000 0.0000  8 Y 3.22-3.41, 4 Mn 3.31
Mn 0.7792 0.2208 0.5000  10 Y 3.20-3.31
Y 0.0000 0.5000 0.0000  6 Mn 3.20-3.22, 6 Y 3.22-3.52
Mn 0.2208 0.7792 0.5000  10 Y 3.20-3.31
Y 0.5000 0.0000 0.0000  6 Mn 3.20-3.22, 6 Y 3.22-3.52
Mn 0.5000 0.5000 0.0000  8 Y 2.98-3.22
Y 0.2909 0.2909 0.5000  6 Mn 2.98-3.27
Y 0.7091 0.7091 0.5000  6 Mn 2.98-3.27

Properties
Volume ... 25.0 A^3/atom
Electronic total energy ... -7.24 eV/atom



[14]
Compound: YMn
Source: Alexandria via LeMat-Bulk
Functional: PBE
Structure: optimized geometry

Cell: 5.6718 5.6718 5.6718 Å, 90.00 90.00 90.00°
Closest atoms and distances in Å follow each position.
Element x y z (fractional)
Y 0.5876 0.4124 0.9124  7 Mn 2.97-3.09
Mn 0.0982 0.5982 0.9018  7 Y 2.97-3.09
Mn 0.5982 0.9018 0.0982  7 Y 2.97-3.09
Y 0.9124 0.5876 0.4124  7 Mn 2.97-3.09
Y 0.0876 0.0876 0.0876  7 Mn 2.97-3.09
Mn 0.4018 0.4018 0.4018  7 Y 2.97-3.09
Mn 0.9018 0.0982 0.5982  7 Y 2.97-3.09
Y 0.4124 0.9124 0.5876  7 Mn 2.97-3.09

Properties
Volume ... 22.8 A^3/atom
Electronic total energy ... -7.49 eV/atom



[15]
Compound: YMn
Source: Alexandria via LeMat-Bulk
Functional: PBE
Structure: optimized geometry

Cell: 3.6125 7.6077 9.8401 Å, 90.00 90.00 90.00°
Closest atoms and distances in Å follow each position.
Element x y z (fractional)
Y 0.0000 0.2478 0.5000  6 Mn 2.84-3.10
Y 0.5000 0.6600 0.6658  4 Mn 2.80-3.13
Y 0.0000 0.3400 0.1658  4 Mn 2.80-3.13
Mn 0.5000 0.0668 0.7145  3 Mn 2.19-2.26
Y 0.0000 0.3400 0.8342  4 Mn 2.80-3.13
Mn 0.0000 0.9332 0.2145  3 Mn 2.19-2.26
Y 0.5000 0.6600 0.3342  4 Mn 2.80-3.13
Mn 0.0000 0.0408 0.0000  2 Mn 2.26
Mn 0.5000 0.9592 0.5000  2 Mn 2.26
Y 0.5000 0.7522 0.0000  6 Mn 2.84-3.10
Mn 0.5000 0.0668 0.2855  3 Mn 2.19-2.26
Mn 0.0000 0.9332 0.7855  3 Mn 2.19-2.26

Properties
Volume ... 22.5 A^3/atom
Electronic total energy ... -7.42 eV/atom



[16]
Compound: Y3Mn2
Source: Alexandria via LeMat-Bulk
Functional: PBE
Structure: optimized geometry

Cell: 9.2954 8.2184 6.1191 Å, 79.35 60.33 40.31°
Closest atoms and distances in Å follow each position.
Element x y z (fractional)
Y 0.7296 0.4762 0.3743  5 Mn 3.10-3.26, 4 Y 3.13-3.39
Mn 0.8993 0.6947 0.0458  8 Y 3.03-3.29
Y 0.0910 0.9090 0.9090  6 Mn 3.03-3.29, 2 Y 3.39
Y 0.4199 0.3743 0.4762  5 Mn 3.10-3.26, 4 Y 3.13-3.39
Mn 0.5553 0.3507 0.8898  8 Y 3.03-3.29
Mn 0.2042 0.8898 0.3507  8 Y 3.03-3.29
Y 0.3410 0.1590 0.1590  6 Mn 3.03-3.29, 2 Y 3.39
Y 0.8757 0.8301 0.5204  5 Mn 3.10-3.26, 4 Y 3.13-3.39
Y 0.7738 0.5204 0.8301  5 Mn 3.10-3.26, 4 Y 3.13-3.39
Mn 0.3602 0.0458 0.6947  8 Y 3.03-3.29

Properties
Energy above the most stable polymorph in this dataset ... 4.2 kJ per mole of atoms
Volume ... 24.7 A^3/atom
Electronic total energy ... -7.23 eV/atom



[17]
Compound: YMn3
Source: Alexandria via LeMat-Bulk
Functional: PBE
Structure: optimized geometry

Cell: 8.7384 8.7384 8.7384 Å, 152.70 152.70 38.99°
Closest atoms and distances in Å follow each position.
Element x y z (fractional)
Y 0.6242 0.6242 0.0000  12 Mn 2.90-2.92
Mn 0.7500 0.2500 0.5000  8 Mn 2.92-2.93, 4 Y 2.92
Mn 0.5000 0.0000 0.5000  8 Mn 2.89-2.92, 4 Y 2.90
Mn 0.1233 0.1233 0.0000  8 Mn 2.89-2.93, 4 Y 2.92
Mn 0.2500 0.7500 0.5000  8 Mn 2.92-2.93, 4 Y 2.92
Y 0.3758 0.3758 0.0000  12 Mn 2.90-2.92
Mn 0.0000 0.5000 0.5000  8 Mn 2.89-2.92, 4 Y 2.90
Mn 0.8767 0.8767 0.0000  8 Mn 2.89-2.93, 4 Y 2.92

Properties
Volume ... 17.5 A^3/atom
Electronic total energy ... -8.11 eV/atom



[18]
Compound: YMn3
Source: Alexandria via LeMat-Bulk
Functional: PBE
Structure: optimized geometry

Cell: 4.1413 5.0631 4.1434 Å, 65.85 90.00 114.14°
Closest atoms and distances in Å follow each position.
Element x y z (fractional)
Mn 0.9166 0.9999 0.0000  8 Mn 2.92-2.93, 4 Y 2.92
Y 0.6667 0.5000 0.7500  12 Mn 2.92-2.93
Mn 0.1667 0.5000 0.2500  8 Mn 2.92-2.93, 4 Y 2.93
Mn 0.4167 0.0001 0.5000  8 Mn 2.92-2.93, 4 Y 2.92

Properties
Volume ... 17.7 A^3/atom
Electronic total energy ... -8.09 eV/atom



[19]
Compound: YMn3
Source: Alexandria via LeMat-Bulk
Functional: PBE
Structure: optimized geometry

Cell: 2.9663 5.3573 5.3573 Å, 116.67 100.64 100.64°
Closest atoms and distances in Å follow each position.
Element x y z (fractional)
Mn 0.0000 0.0000 0.0000  6 Mn 2.81-2.97, 2 Y 2.81
Y 0.0000 0.5000 0.5000  6 Mn 2.81, 2 Y 2.97
Mn 0.5000 0.5000 0.0000  2 Y 2.81, 6 Mn 2.81-2.97
Mn 0.5000 0.0000 0.5000  6 Mn 2.81-2.97, 2 Y 2.81

Properties
Volume ... 17.8 A^3/atom
Electronic total energy ... -7.88 eV/atom



[20]
Compound: YMn
Source: Alexandria via LeMat-Bulk
Functional: PBE
Structure: optimized geometry

Cell: 5.9728 5.9728 6.7594 Å, 72.51 72.51 35.56°
Closest atoms and distances in Å follow each position.
Element x y z (fractional)
Y 0.7410 0.7410 0.0948  4 Mn 2.93-2.94, 1 Y 3.17
Mn 0.3308 0.3308 0.7387  3 Mn 2.59-2.62
Y 0.0347 0.0347 0.9246  3 Mn 3.08-3.20, 4 Y 3.17-3.44
Mn 0.3383 0.3383 0.3469  3 Mn 2.60-2.62
Mn 0.7143 0.7143 0.6011  4 Mn 2.59-2.60
Y 0.0077 0.0077 0.4606  5 Mn 2.92-3.17, 1 Y 3.25

Properties
Volume ... 22.2 A^3/atom
Electronic total energy ... -7.57 eV/atom



[21]
Compound: Y4Mn3
Source: Alexandria via LeMat-Bulk
Functional: PBE
Structure: optimized geometry

Cell: 14.3843 14.3843 14.3843 Å, 166.11 166.11 19.69°
Closest atoms and distances in Å follow each position.
Element x y z (fractional)
Y 0.5620 0.5620 0.0000  4 Mn 3.02
Mn 0.2712 0.2712 0.0000  4 Mn 2.74, 5 Y 3.02-3.06
Y 0.8354 0.8354 0.0000  5 Mn 3.02-3.06
Mn 0.7288 0.7288 0.0000  4 Mn 2.74, 5 Y 3.02-3.06
Mn 0.0000 0.0000 0.0000  8 Y 3.02
Y 0.1646 0.1646 0.0000  5 Mn 3.02-3.06
Y 0.4380 0.4380 0.0000  4 Mn 3.02

Properties
Energy above the most stable polymorph in this dataset ... 0.0 kJ per mole of atoms
Volume ... 24.5 A^3/atom
Electronic total energy ... -7.41 eV/atom



[22]
Compound: YMn3
Source: Alexandria via LeMat-Bulk
Functional: PBE
Structure: optimized geometry

Cell: 3.0478 8.9380 3.0478 Å, 99.82 60.00 99.82°
Closest atoms and distances in Å follow each position.
Element x y z (fractional)
Mn 0.2500 0.7500 0.2500  6 Mn 2.53
Y 0.7500 0.2500 0.7500  6 Y 3.05, 6 Mn 3.11
Mn 0.9858 0.9573 0.9858  3 Mn 2.53
Mn 0.5142 0.5427 0.5142  3 Mn 2.53

Properties
Volume ... 17.6 A^3/atom
Electronic total energy ... -7.93 eV/atom



[23]
Compound: YMn
Source: Alexandria via LeMat-Bulk
Functional: PBE
Structure: optimized geometry

Cell: 4.4987 4.4987 4.4987 Å, 60.00 60.00 60.00°
Closest atoms and distances in Å follow each position.
Element x y z (fractional)
Mn 0.0000 0.0000 0.0000  4 Y 2.75
Y 0.7500 0.7500 0.7500  4 Mn 2.75

Properties
Volume ... 32.2 A^3/atom
Electronic total energy ... -6.28 eV/atom



[24]
Compound: YMn3
Source: Alexandria via LeMat-Bulk
Functional: PBE
Structure: optimized geometry

Cell: 5.2567 5.2567 5.2567 Å, 90.00 90.00 90.00°
Closest atoms and distances in Å follow each position.
Element x y z (fractional)
Y 0.0000 0.0000 0.0000  12 Mn 2.94
Mn 0.2500 0.5000 0.0000  2 Mn 2.63, 4 Y 2.94
Mn 0.0000 0.7500 0.5000  2 Mn 2.63, 4 Y 2.94
Y 0.5000 0.5000 0.5000  12 Mn 2.94
Mn 0.5000 0.0000 0.2500  2 Mn 2.63, 4 Y 2.94
Mn 0.0000 0.2500 0.5000  2 Mn 2.63, 4 Y 2.94
Mn 0.7500 0.5000 0.0000  2 Mn 2.63, 4 Y 2.94
Mn 0.5000 0.0000 0.7500  2 Mn 2.63, 4 Y 2.94

Properties
Volume ... 18.2 A^3/atom
Electronic total energy ... -7.95 eV/atom



[25]
Compound: YMn8
Source: Alexandria via LeMat-Bulk
Functional: PBE
Structure: optimized geometry

Cell: 5.7991 5.7991 5.7991 Å, 96.21 96.21 141.59°
Closest atoms and distances in Å follow each position.
Element x y z (fractional)
Mn 0.3020 0.3020 0.6040  4 Mn 2.22-2.38
Mn 0.3594 0.0000 0.3594  3 Mn 2.18-2.38
Mn 0.6980 0.3020 0.0000  4 Mn 2.22-2.38
Y 0.0000 0.0000 0.0000  12 Mn 2.78-2.89
Mn 0.6406 0.0000 0.6406  3 Mn 2.18-2.38
Mn 0.6980 0.6980 0.3960  4 Mn 2.22-2.38
Mn 0.0000 0.6406 0.6406  3 Mn 2.18-2.38
Mn 0.3020 0.6980 0.0000  4 Mn 2.22-2.38
Mn 0.0000 0.3594 0.3594  3 Mn 2.18-2.38

Properties
Volume ... 12.7 A^3/atom
Electronic total energy ... -8.68 eV/atom



[26]
Compound: Y3Mn2
Source: Alexandria via LeMat-Bulk
Functional: PBE
Structure: optimized geometry

Cell: 4.9105 4.9105 6.0711 Å, 90.00 90.00 120.00°
Closest atoms and distances in Å follow each position.
Element x y z (fractional)
Mn 0.3333 0.6667 0.8746  7 Y 2.85-3.13
Y 0.6667 0.3333 0.6561  4 Mn 2.85-3.13
Y 0.0000 0.0000 0.0000  6 Mn 2.94
Y 0.3333 0.6667 0.3439  4 Mn 2.85-3.13
Mn 0.6667 0.3333 0.1254  7 Y 2.85-3.13

Properties
Energy above the most stable polymorph in this dataset ... 0.0 kJ per mole of atoms
Volume ... 25.4 A^3/atom
Electronic total energy ... -7.28 eV/atom